Record 1
Below is RuPb2Se after structural relaxation, with properties calculated at the PBE level.

- Density: 11.0 Mg/m³
- Final energy: -4.535 eV/atom
- Spin magnetization: 0.00 μB per formula unit
- Formation energy (no corrections): 0.509 eV/atom

Lattice parameters (Å, degrees): 7.109 7.109 7.109 90.00 90.00 90.00
Space group F-43m (No. 216)
One atom of each set of equivalent atoms:
Ru  0.000  0.000  0.000 (multiplicity 4)
Pb  0.000  0.000  0.500 (multiplicity 4)
Pb  0.250  0.250  0.750 (multiplicity 4)
Se  0.250  0.250  0.250 (multiplicity 4)


Record 2
Below is Zr3Al after structural relaxation, with properties calculated at the PBE level.

- Density: 5.6 Mg/m³
- Final energy: -7.482 eV/atom
- Spin magnetization: 0.00 μB per formula unit
- Formation enthalpy at 0 K: -0.135 eV per atom

Lattice parameters (Å, degrees): 7.136 8.792 5.651 90.00 90.00 90.00
Space group Pnma (No. 62)
One atom of each set of equivalent atoms:
Zr  0.024  0.250  0.101 (multiplicity 4)
Zr  0.181  0.030  0.663 (multiplicity 8)
Al  0.104  0.750  0.414 (multiplicity 4)


Record 3
Below is La2Y2As after structural relaxation, with properties calculated at the PBE level.

- Density: 5.5 Mg/m³
- Final energy: -5.826 eV/atom
- Spin magnetization: 0.00 μB per formula unit
- Formation enthalpy at 0 K: -0.339 eV per atom

Lattice parameters (Å, degrees): 7.661 7.661 5.507 90.00 90.00 90.00
Space group P4/mbm (No. 127)
One atom of each set of equivalent atoms:
La  0.146  0.354  0.000 (multiplicity 4)
Y  0.159  0.659  0.500 (multiplicity 4)
As  0.000  0.000  0.500 (multiplicity 2)


Record 4
Below is CsTaGe2 after structural relaxation, with properties calculated at the PBE level.

- Density: 8.1 Mg/m³
- Final energy: -4.366 eV/atom
- Spin magnetization: 0.01 μB per formula unit
- Formation enthalpy at 0 K: 1.119 eV per atom

Lattice parameters (Å, degrees): 7.231 7.231 7.231 90.00 90.00 90.00
Space group Fm-3m (No. 225)
One atom of each set of equivalent atoms:
Cs  0.000  0.000  0.000 (multiplicity 4)
Ta  0.000  0.000  0.500 (multiplicity 4)
Ge  0.250  0.250  0.250 (multiplicity 8)